<A>
Here is a geometry-optimized Be3InPt structure from Alexandria. Energies are from PBE.

POSCAR file:
```
Be3InPt
1.0
4.387 0.000 0.000
0.000 4.387 0.000
0.000 0.000 4.387
Be Pt In
3 1 1
direct
0.000 0.500 0.000 Be
0.000 0.000 0.500 Be
0.500 0.000 0.000 Be
0.500 0.500 0.500 Pt
0.000 0.000 0.000 In
```

Output
Volume, Å³/atom: 16.89
Space group: No. 221
Magnetic moment, μB per cell: 0.0

***

<B>
Here is a geometry-optimized Be3InPt structure from Alexandria. Energies are from PBE.

POSCAR file:
```
Be3InPt
1.0
-1.753 0.909 -3.872
2.600 -2.939 -1.868
-3.009 -3.070 0.642
Be Pt In
3 1 1
direct
0.000 0.500 0.000 Be
0.000 0.000 0.500 Be
0.500 0.000 0.000 Be
0.000 0.000 0.000 Pt
0.500 0.500 0.500 In
```

Output
Volume, Å³/atom: 16.42
Space group: No. 221
Magnetic moment, μB per cell: 0.0

***

Stability check: which of them is most stable? <B>.

***

<A>
Here is a geometry-optimized BeIn3Pt structure from Alexandria. Energies are from PBE.

POSCAR file:
```
BeIn3Pt
1.0
-2.143 1.979 -3.742
-2.903 -3.740 -0.315
-3.081 2.147 2.900
Be Pt In
1 1 3
direct
0.000 0.000 0.000 Be
0.500 0.500 0.500 Pt
0.000 0.500 0.000 In
0.000 0.000 0.500 In
0.500 0.000 0.000 In
```

Output
Volume, Å³/atom: 21.36
Space group: No. 221
Magnetic moment, μB per cell: 0.0

***

<B>
Here is a geometry-optimized BeIn3Pt structure from Alexandria. Energies are from PBE.

POSCAR file:
```
BeIn3Pt
1.0
5.186 0.000 0.000
0.000 5.186 0.000
0.000 0.000 5.186
Be Pt In
1 1 3
direct
0.500 0.500 0.500 Be
0.000 0.000 0.000 Pt
0.000 0.500 0.000 In
0.000 0.000 0.500 In
0.500 0.000 0.000 In
```

Output
Volume, Å³/atom: 27.90
Space group: No. 221
Magnetic moment, μB per cell: 0.0

***

Stability check: which of them is most stable? <B>.

***

<A>
Here is a geometry-optimized RbBe3In structure from Alexandria. Energies are from PBE.

POSCAR file:
```
RbBe3In
1.0
-3.981 -1.815 3.673
3.192 -4.585 1.193
2.569 2.884 4.209
Be Rb In
3 1 1
direct
0.000 0.500 0.000 Be
0.000 0.000 0.500 Be
0.500 0.000 0.000 Be
0.000 0.000 0.000 Rb
0.500 0.500 0.500 In
```

Output
Volume, Å³/atom: 37.29
Space group: No. 221
Magnetic moment, μB per cell: 0.0

***

<B>
Here is a geometry-optimized RbBe3In structure from Alexandria. Energies are from PBE.

POSCAR file:
```
RbBe3In
1.0
-3.655 2.977 -1.201
-2.805 -2.075 3.391
1.563 3.240 3.275
Be Rb In
3 1 1
direct
0.000 0.500 0.000 Be
0.000 0.000 0.500 Be
0.500 0.000 0.000 Be
0.500 0.500 0.500 Rb
0.000 0.000 0.000 In
```

Output
Volume, Å³/atom: 23.03
Space group: No. 221
Magnetic moment, μB per cell: 0.0

***

Stability check: which of them is most stable? <B>.

***

<A>
Here is a geometry-optimized BeInRe3 structure from Alexandria. Energies are from PBE.

POSCAR file:
```
BeInRe3
1.0
-3.008 1.525 2.572
0.860 -3.053 2.817
2.864 2.519 1.856
Re Be In
3 1 1
direct
0.000 0.500 0.000 Re
0.000 0.000 0.500 Re
0.500 0.000 0.000 Re
0.000 0.000 0.000 Be
0.500 0.500 0.500 In
```

Output
Volume, Å³/atom: 15.26
Space group: No. 221
Magnetic moment, μB per cell: 0.0

***

<B>
Here is a geometry-optimized BeInRe3 structure from Alexandria. Energies are from PBE.

POSCAR file:
```
BeInRe3
1.0
-1.703 -0.256 -4.493
0.815 -4.742 -0.038
-4.426 -0.774 1.722
Re Be In
3 1 1
direct
0.000 0.500 0.000 Re
0.000 0.000 0.500 Re
0.500 0.000 0.000 Re
0.500 0.500 0.500 Be
0.000 0.000 0.000 In
```

Output
Volume, Å³/atom: 22.28
Space group: No. 221
Magnetic moment, μB per cell: 1.1

***

Stability check: which of them is most stable? <A>.

***

<A>
Here is a geometry-optimized Be2InRe2 structure from Alexandria. Energies are from PBE.

POSCAR file:
```
Be2InRe2
1.0
-0.515 -3.626 -0.544
0.636 -0.629 3.593
-5.088 -1.549 2.537
Re Be In
2 2 1
direct
0.750 0.250 0.500 Re
0.250 0.750 0.500 Re
0.399 0.399 0.203 Be
0.601 0.601 0.797 Be
0.000 0.000 0.000 In
```

Output
Volume, Å³/atom: 14.48
Space group: No. 139
Magnetic moment, μB per cell: 0.0

***

<B>
Here is a geometry-optimized Be2InRe2 structure from Alexandria. Energies are from PBE.

POSCAR file:
```
Be2InRe2
1.0
6.259 0.000 0.000
0.000 6.259 0.000
0.000 0.000 3.266
Re Be In
4 4 2
direct
0.169 0.669 0.500 Re
0.669 0.831 0.500 Re
0.831 0.331 0.500 Re
0.331 0.169 0.500 Re
0.384 0.884 0.000 Be
0.884 0.616 0.000 Be
0.616 0.116 0.000 Be
0.116 0.384 0.000 Be
0.000 0.000 0.000 In
0.500 0.500 0.000 In
```

Output
Volume, Å³/atom: 12.79
Space group: No. 127
Magnetic moment, μB per cell: 0.0

***

Stability check: which of them is most stable? <B>.

***

<A>
Here is a geometry-optimized Be3InRe structure from Alexandria. Energies are from PBE.

POSCAR file:
```
Be3InRe
1.0
4.304 0.000 0.000
0.000 4.304 0.000
0.000 0.000 4.304
Re Be In
1 3 1
direct
0.500 0.500 0.500 Re
0.000 0.500 0.000 Be
0.000 0.000 0.500 Be
0.500 0.000 0.000 Be
0.000 0.000 0.000 In
```

Output
Volume, Å³/atom: 15.95
Space group: No. 221
Magnetic moment, μB per cell: 2.3

***

<B>
Here is a geometry-optimized Be3InRe structure from Alexandria. Energies are from PBE.

POSCAR file:
```
Be3InRe
1.0
-2.353 3.493 0.925
-0.212 -1.236 4.125
3.607 2.205 0.846
Re Be In
1 3 1
direct
0.000 0.000 0.000 Re
0.000 0.500 0.000 Be
0.000 0.000 0.500 Be
0.500 0.000 0.000 Be
0.500 0.500 0.500 In
```

Output
Volume, Å³/atom: 16.03
Space group: No. 221
Magnetic moment, μB per cell: 0.0

***

Stability check: which of them is most stable? <B>.

***

<A>
Here is a geometry-optimized BeInRh3 structure from Alexandria. Energies are from PBE.

POSCAR file:
```
BeInRh3
1.0
-1.670 -3.550 -1.482
2.193 -2.206 2.813
-3.161 0.346 2.735
Be Rh In
1 3 1
direct
0.000 0.000 0.000 Be
0.000 0.500 0.000 Rh
0.000 0.000 0.500 Rh
0.500 0.000 0.000 Rh
0.500 0.500 0.500 In
```

Output
Volume, Å³/atom: 14.75
Space group: No. 221
Magnetic moment, μB per cell: 0.0

***

<B>
Here is a geometry-optimized BeInRh3 structure from Alexandria. Energies are from PBE.

POSCAR file:
```
BeInRh3
1.0
4.836 0.000 0.000
0.000 4.836 0.000
0.000 0.000 4.836
Be Rh In
1 3 1
direct
0.500 0.500 0.500 Be
0.000 0.500 0.000 Rh
0.000 0.000 0.500 Rh
0.500 0.000 0.000 Rh
0.000 0.000 0.000 In
```

Output
Volume, Å³/atom: 22.62
Space group: No. 221
Magnetic moment, μB per cell: 1.8

***

Stability check: which of them is most stable? <A>.

***

<A>
Here is a geometry-optimized BeInRu structure from Alexandria. Energies are from PBE.

POSCAR file:
```
BeInRu
1.0
5.134 0.001 -0.001
4.207 2.943 0.003
0.927 0.288 2.928
Ru Be In
1 1 1
direct
0.629 0.629 0.371 Ru
0.044 0.044 0.956 Be
0.327 0.327 0.673 In
```

Output
Volume, Å³/atom: 14.74
Space group: No. 107
Magnetic moment, μB per cell: 0.0

***

<B>
Here is a geometry-optimized BeInRu structure from Alexandria. Energies are from PBE.

POSCAR file:
```
BeInRu
1.0
-2.806 -2.713 -0.519
3.076 -0.771 2.335
-1.675 1.232 2.614
Ru Be In
1 1 1
direct
0.333 0.667 0.833 Ru
0.000 0.000 0.834 Be
0.667 0.333 0.333 In
```

Output
Volume, Å³/atom: 14.95
Space group: No. 187
Magnetic moment, μB per cell: 0.0

***

Stability check: which of them is most stable? <A>.

***

<A>
Here is a geometry-optimized BeInRu structure from Alexandria. Energies are from PBE.

POSCAR file:
```
BeInRu
1.0
4.014 0.000 0.000
2.007 3.476 0.000
2.007 1.159 3.277
Ru Be In
1 1 1
direct
0.500 0.500 0.500 Ru
0.750 0.750 0.750 Be
0.000 0.000 0.000 In
```

Output
Volume, Å³/atom: 15.24
Space group: No. 216
Magnetic moment, μB per cell: 0.0

***

<B>
Here is a geometry-optimized BeInRu structure from Alexandria. Energies are from PBE.

POSCAR file:
```
BeInRu
1.0
-2.937 -0.169 -0.278
1.412 -1.794 1.875
-0.664 4.168 4.488
Ru Be In
1 1 1
direct
0.333 0.667 0.705 Ru
0.000 0.000 0.959 Be
0.667 0.333 0.336 In
```

Output
Volume, Å³/atom: 15.53
Space group: No. 156
Magnetic moment, μB per cell: 0.0

***

Stability check: which of them is most stable? <A>.

***

<A>
Here is a geometry-optimized BeInRu2 structure from Alexandria. Energies are from PBE.

POSCAR file:
```
BeInRu2
1.0
2.828 -0.029 0.000
-1.125 2.595 0.000
0.000 0.000 7.893
Ru Be In
2 1 1
direct
0.000 0.000 0.041 Ru
0.000 0.000 0.459 Ru
0.500 0.500 0.250 Be
0.500 0.500 0.750 In
```

Output
Volume, Å³/atom: 14.41
Space group: No. 65
Magnetic moment, μB per cell: 0.0

***

<B>
Here is a geometry-optimized BeInRu2 structure from Alexandria. Energies are from PBE.

POSCAR file:
```
BeInRu2
1.0
-3.043 3.388 -1.986
-3.864 0.715 -3.039
-4.090 0.504 1.911
Ru Be In
2 1 1
direct
0.038 0.038 0.962 Ru
0.462 0.462 0.538 Ru
0.750 0.750 0.750 Be
0.250 0.250 0.250 In
```

Output
Volume, Å³/atom: 14.09
Space group: No. 12
Magnetic moment, μB per cell: 0.0

***

Stability check: which of them is most stable? <B>.

***

<A>
Here is a geometry-optimized BeInRu2 structure from Alexandria. Energies are from PBE.

POSCAR file:
```
BeInRu2
1.0
-0.075 1.328 -4.882
-2.642 -4.165 1.130
-2.669 0.811 -0.398
Ru Be In
2 1 1
direct
0.000 0.000 0.000 Ru
0.500 0.500 0.000 Ru
0.500 0.000 0.500 Be
0.000 0.500 0.500 In
```

Output
Volume, Å³/atom: 14.82
Space group: No. 12
Magnetic moment, μB per cell: 0.0

***

<B>
Here is a geometry-optimized BeInRu2 structure from Alexandria. Energies are from PBE.

POSCAR file:
```
BeInRu2
1.0
0.000 3.064 3.064
3.064 0.000 3.064
3.064 3.064 0.000
Ru Be In
2 1 1
direct
0.250 0.250 0.250 Ru
0.750 0.750 0.750 Ru
0.000 0.000 0.000 Be
0.500 0.500 0.500 In
```

Output
Volume, Å³/atom: 14.39
Space group: No. 225
Magnetic moment, μB per cell: 0.6

***

<C>
Here is a geometry-optimized BeInRu2 structure from Alexandria. Energies are from PBE.

POSCAR file:
```
BeInRu2
1.0
-0.853 0.020 -3.871
-3.794 -0.793 0.832
-3.995 8.050 -1.107
Ru Be In
4 2 2
direct
0.534 0.125 0.250 Ru
0.216 0.625 0.250 Ru
0.375 0.466 0.750 Ru
0.875 0.784 0.750 Ru
0.500 0.500 0.000 Be
0.250 0.750 0.500 Be
0.000 0.000 0.000 In
0.750 0.250 0.500 In
```

Output
Volume, Å³/atom: 16.91
Space group: No. 122
Magnetic moment, μB per cell: 0.0

***

<D>
Here is a geometry-optimized BeInRu2 structure from Alexandria. Energies are from PBE.

POSCAR file:
```
BeInRu2
1.0
-1.583 1.729 3.340
0.120 -2.536 1.370
4.661 -0.170 2.297
Ru Be In
2 1 1
direct
0.000 0.038 0.049 Ru
0.500 0.431 0.259 Ru
0.000 0.332 0.467 Be
0.500 0.699 0.725 In
```

Output
Volume, Å³/atom: 14.71
Space group: No. 6
Magnetic moment, μB per cell: 0.0

***

Stability check: which of them is most stable? <D>.

***

<A>
Here is a geometry-optimized BeInRu2 structure from Alexandria. Energies are from PBE.

POSCAR file:
```
BeInRu2
1.0
2.959 0.000 0.000
0.000 2.959 0.000
0.000 0.000 6.414
Ru Be In
2 1 1
direct
0.000 0.000 0.051 Ru
0.000 0.000 0.449 Ru
0.500 0.500 0.250 Be
0.500 0.500 0.750 In
```

Output
Volume, Å³/atom: 14.04
Space group: No. 123
Magnetic moment, μB per cell: 0.2

***

<B>
Here is a geometry-optimized BeInRu2 structure from Alexandria. Energies are from PBE.

POSCAR file:
```
BeInRu2
1.0
3.000 0.000 0.000
0.000 3.000 0.000
0.000 0.000 6.387
Ru Be In
2 1 1
direct
0.000 0.000 0.029 Ru
0.500 0.500 0.295 Ru
0.000 0.000 0.436 Be
0.500 0.500 0.740 In
```

Output
Volume, Å³/atom: 14.37
Space group: No. 99
Magnetic moment, μB per cell: 0.0

***

Stability check: which of them is most stable? <A>.